A relaxed ScSiHIr2 crystal, computed with PBE.

Calculated values
Size of the total moment ... 0.00 μB per formula unit
Calculated total energy ... -36.156 eV per formula unit

The structure in POSCAR format:
```
ScSiHIr2
1.0
1.814 -5.293 0.000
1.814 5.293 0.000
0.000 0.000 7.099
Sc Si H Ir
2 2 2 4
Cartesian
1.814 4.793 5.324 Sc
1.814 -4.793 1.775 Sc
1.814 2.832 1.775 Si
1.814 -2.832 5.324 Si
1.814 0.000 0.000 H
1.814 0.000 3.549 H
1.814 1.636 3.931 Ir
1.814 1.636 6.717 Ir
1.814 -1.636 0.381 Ir
1.814 -1.636 3.168 Ir
```

A relaxed ScSnH6Ir2 crystal, computed with PBE.

Calculated values
Size of the total moment ... 0.00 μB per formula unit
Calculated total energy ... -50.274 eV per formula unit

The structure in POSCAR format:
```
ScSnH6Ir2
1.0
3.139 -4.122 0.000
3.139 4.122 0.000
-2.582 0.000 7.873
Sc Sn H Ir
2 2 12 4
Cartesian
1.202 3.542 5.905 Sc
2.493 -3.542 1.968 Sc
2.493 1.293 1.968 Sn
1.202 -1.293 5.905 Sn
1.899 3.125 3.691 H
3.088 3.125 0.246 H
0.497 1.372 6.681 H
0.647 0.051 3.819 H
-0.644 -0.051 7.756 H
1.908 1.372 5.129 H
1.788 -1.372 2.745 H
4.339 0.051 0.117 H
3.048 -0.051 4.054 H
3.199 -1.372 1.192 H
0.608 -3.125 7.627 H
1.797 -3.125 4.183 H
0.070 1.093 4.968 Ir
1.361 -1.093 1.031 Ir
2.334 1.093 6.842 Ir
3.626 -1.093 2.906 Ir
```

A relaxed Sc2SnHIr crystal, computed with PBE.

Calculated values
Size of the total moment ... 0.00 μB per formula unit
Calculated total energy ... -32.051 eV per formula unit

The structure in POSCAR format:
```
Sc2SnHIr
1.0
4.524 0.000 0.000
0.000 4.524 0.000
0.000 0.000 3.867
Sc Sn H Ir
2 1 1 1
Cartesian
0.000 2.262 0.000 Sc
2.262 0.000 0.000 Sc
0.000 0.000 1.934 Sn
2.262 2.262 0.000 H
2.262 2.262 1.934 Ir
```

A relaxed ScSnHIr2 crystal, computed with PBE.

Calculated values
Size of the total moment ... 0.00 μB per formula unit
Calculated total energy ... -33.521 eV per formula unit

The structure in POSCAR format:
```
ScSnHIr2
1.0
4.164 0.000 0.000
0.000 4.164 0.000
0.000 0.000 4.045
Sc Sn H Ir
1 1 1 2
Cartesian
0.000 0.000 0.000 Sc
2.082 2.082 0.000 Sn
0.000 0.000 2.022 H
0.000 2.082 2.022 Ir
2.082 0.000 2.022 Ir
```

A relaxed ScTaH2Ir crystal, computed with PBE.

Calculated values
Size of the total moment ... 0.00 μB per formula unit
Calculated total energy ... -30.878 eV per formula unit

The structure in POSCAR format:
```
ScTaH2Ir
1.0
3.619 0.000 0.000
0.000 3.619 0.000
0.000 0.000 5.613
Sc Ta H Ir
1 1 2 1
Cartesian
0.000 0.000 0.000 Sc
0.000 0.000 2.806 Ta
0.000 1.809 2.806 H
1.809 0.000 2.806 H
1.809 1.809 0.000 Ir
```

A relaxed TmScH8Ir2 crystal, computed with PBE.

Calculated values
Size of the total moment ... 0.00 μB per formula unit
Calculated total energy ... -59.249 eV per formula unit

The structure in POSCAR format:
```
TmScH8Ir2
1.0
4.443 -2.126 0.000
4.443 2.126 0.000
-1.539 0.000 5.678
Tm Sc H Ir
1 1 8 2
Cartesian
0.000 0.000 0.000 Tm
3.674 0.000 2.839 Sc
1.929 1.128 3.804 H
-0.294 0.000 3.693 H
5.418 1.128 1.874 H
3.539 0.000 0.433 H
3.808 0.000 5.244 H
1.929 -1.128 3.804 H
7.641 0.000 1.984 H
5.418 -1.128 1.874 H
1.129 0.000 4.746 Ir
6.219 0.000 0.932 Ir
```

A relaxed Sc2VHIr crystal, computed with PBE.

Calculated values
Size of the total moment ... 2.77 μB per formula unit
Calculated total energy ... -36.183 eV per formula unit

The structure in POSCAR format:
```
Sc2VHIr
1.0
4.578 0.000 0.000
0.000 4.578 0.000
0.000 0.000 3.459
Sc V H Ir
2 1 1 1
Cartesian
0.000 2.289 0.000 Sc
2.289 0.000 0.000 Sc
0.000 0.000 1.729 V
0.000 0.000 0.000 H
2.289 2.289 1.729 Ir
```

A relaxed Sc2ZnHIr crystal, computed with PBE.

Calculated values
Size of the total moment ... 0.00 μB per formula unit
Calculated total energy ... -28.932 eV per formula unit

The structure in POSCAR format:
```
Sc2ZnHIr
1.0
4.430 0.000 0.000
0.000 4.430 0.000
0.000 0.000 3.651
Sc Zn H Ir
2 1 1 1
Cartesian
0.000 2.215 0.000 Sc
2.215 0.000 0.000 Sc
0.000 0.000 1.826 Zn
0.000 0.000 0.000 H
2.215 2.215 1.826 Ir
```

A relaxed ScZnH8Ir2 crystal, computed with PBE.

Calculated values
Size of the total moment ... 0.00 μB per formula unit
Calculated total energy ... -53.571 eV per formula unit

The structure in POSCAR format:
```
ScZnH8Ir2
1.0
4.066 -2.100 0.000
4.066 2.100 0.000
-2.021 0.000 5.545
Sc Zn H Ir
1 1 8 2
Cartesian
0.000 0.000 0.000 Sc
3.055 0.000 2.773 Zn
2.435 1.006 0.953 H
0.974 0.000 2.024 H
1.595 0.000 4.761 H
3.676 1.006 4.592 H
2.435 -1.006 0.953 H
4.516 0.000 0.784 H
5.137 0.000 3.521 H
3.676 -1.006 4.592 H
0.346 0.000 3.609 Ir
5.765 0.000 1.936 Ir
```

A relaxed ScZnH6Ir2 crystal, computed with PBE.

Calculated values
Size of the total moment ... 0.00 μB per formula unit
Calculated total energy ... -47.762 eV per formula unit

The structure in POSCAR format:
```
ScZnH6Ir2
1.0
3.746 -5.129 0.000
3.746 5.129 0.000
-1.625 0.000 4.837
Sc Zn H Ir
2 2 12 4
Cartesian
2.527 3.777 3.628 Sc
3.339 -3.777 1.209 Sc
3.339 1.932 1.209 Zn
2.527 -1.932 3.628 Zn
0.827 2.049 2.922 H
1.517 0.369 0.907 H
0.705 -0.369 3.326 H
1.796 0.950 4.484 H
1.640 -2.049 0.504 H
3.257 0.950 2.771 H
2.608 -0.950 2.065 H
4.226 2.049 4.333 H
4.070 -0.950 0.353 H
5.161 0.369 1.511 H
4.348 -0.369 3.930 H
5.038 -2.049 1.915 H
0.185 1.102 4.108 Ir
0.997 -1.102 1.690 Ir
4.868 1.102 3.147 Ir
5.681 -1.102 0.729 Ir
```